# Tb3Re2Sn3N12 | the Open Quantum Materials Database | GGA-PBE | relaxed
data_Tb3Re2Sn3N12
_space_group_name_H-M_alt 'I a -3 d'
_space_group_IT_number 230
_space_group_name_Hall '-I 4bd 2c 3'
_cell_length_a 12.845
_cell_length_b 12.845
_cell_length_c 12.845
_cell_angle_alpha 90.00
_cell_angle_beta 90.00
_cell_angle_gamma 90.00
loop_
_atom_site_label
_atom_site_type_symbol
_atom_site_fract_x
_atom_site_fract_y
_atom_site_fract_z
Tb1 Tb 0.000 0.250 0.125
Re1 Re 0.000 0.000 0.000
Sn1 Sn 0.000 0.250 0.375
N1 N 0.028 0.059 0.641
# Total magnetic moment   0.0 Bohr magnetons per cell
# Crystal system   cubic
# E_tot   -7.686 eV/atom